! KIn2Pt2 PBE optimized geometry; values from VASP
! - ΔE to the lowest computed polymorph: 0.0 meV/atom
! - Energy of formation from the pure elements: -0.401 eV/atom
! - Calculated density: 8394 kg/m3
! - Uncorrected energy: -4.132 eV per atom
&SYSTEM
  ibrav = 0, nat = 10, ntyp = 3
/
ATOMIC_SPECIES
K 39.10 K.upf
In 114.82 In.upf
Pt 195.08 Pt.upf
ATOMIC_POSITIONS angstrom
K 8.713 4.542 1.349
K 3.946 1.171 4.887
In 5.657 2.190 1.719
In 10.173 5.047 4.828
In 2.486 0.665 1.408
In 7.002 3.522 4.516
Pt 5.477 4.346 -0.041
Pt 7.179 0.981 3.535
Pt 7.182 1.366 6.277
Pt 5.480 4.731 2.701
CELL_PARAMETERS angstrom
6.332 0.005 0.023
3.172 6.224 -0.455
3.155 -0.516 6.668


! SbPtI3 PBE optimized geometry; values from VASP
! - ΔE to the lowest computed polymorph: 0.0 meV/atom
! - Energy relative to the elements, uncorrected: 145 kJ/mol of formula units
! - Calculated density: 7159 kg/m3
! - Uncorrected energy: -2.661 eV per atom
&SYSTEM
  ibrav = 0, nat = 5, ntyp = 3
/
ATOMIC_SPECIES
I 126.90 I.upf
Sb 121.76 Sb.upf
Pt 195.08 Pt.upf
ATOMIC_POSITIONS angstrom
I 0.000 2.725 0.000
I 0.000 0.000 2.725
I 2.725 0.000 0.000
Sb 2.725 2.725 2.725
Pt 0.000 0.000 0.000
CELL_PARAMETERS angstrom
5.449 0.000 0.000
0.000 5.449 0.000
0.000 0.000 5.449